Record 1
# PBE-GGA Li5In6Ag, optimized geometry
data_Li5In6Ag
_chemical_formula_sum 'Li10 In12 Ag2'
_symmetry_space_group_name_H-M 'C m m m'
_symmetry_Int_Tables_number 65
_symmetry_space_group_name_Hall '-C 2 2'
_cell_length_a 4.400
_cell_length_b 13.520
_cell_length_c 8.157
_cell_angle_alpha 90.00
_cell_angle_beta 90.00
_cell_angle_gamma 90.00
loop_
_atom_site_label
_atom_site_type_symbol
_atom_site_fract_x
_atom_site_fract_y
_atom_site_fract_z
_atom_site_occupancy
Li1 Li 0.000 0.000 0.000 1
Li2 Li 0.000 0.334 0.000 1
Li3 Li 0.000 0.340 0.500 1
In1 In 0.000 0.168 0.253 1
In2 In 0.000 0.500 0.244 1
Ag1 Ag 0.000 0.000 0.500 1
# - formation energy from the elements (eV per atom) = -0.226
# - electronic total energy (eV/atom) = -2.63
# - DOS at the Fermi energy (states/eV/f.u.) = 4.168
# - spin magnetization (μB per atom) = 0.000

---

Record 2
# PBE-GGA Pm2TmCu2Ge2, optimized geometry
data_Pm2TmCu2Ge2
_chemical_formula_sum 'Pm6 Tm3 Cu6 Ge6'
_symmetry_space_group_name_H-M 'R -3 m'
_symmetry_Int_Tables_number 166
_symmetry_space_group_name_Hall '-R 3 2"'
_cell_length_a 4.2334
_cell_length_b 4.2334
_cell_length_c 30.6429
_cell_angle_alpha 90.00
_cell_angle_beta 90.00
_cell_angle_gamma 120.00
loop_
_atom_site_label
_atom_site_type_symbol
_atom_site_fract_x
_atom_site_fract_y
_atom_site_fract_z
_atom_site_occupancy
Pm1 Pm 0.0000 0.0000 0.1200 1
Tm1 Tm 0.0000 0.0000 0.0000 1
Cu1 Cu 0.0000 0.0000 0.3869 1
Ge1 Ge 0.0000 0.0000 0.2740 1
# - formation energy from the elements (eV per atom) = -0.505
# - electronic total energy (eV/atom) = -4.99
# - DOS at the Fermi energy (states/eV/f.u.) = 4.759
# - spin magnetization (μB per atom) = 0.000